# Dy2Ti2O7

A relaxed structure of Dy2Ti2O7 (PBEsol, the Alexandria database).

Crystal system: cubic
Uncorrected formation energy (eV per atom): -3.38

abc: 10.050 10.050 10.050
angles: 90.00 90.00 90.00
Space group Fd-3m (No. 227, origin choice 2)
Asymmetric unit:
Dy: 0.000 0.000 0.000 x16
Ti: 0.000 0.000 0.500 x16
O: 0.081 0.375 0.875 x48
O: 0.125 0.125 0.125 x8



# DyTiO3

A relaxed structure of DyTiO3 (PBEsol, the Alexandria database).

Crystal system: orthorhombic
Uncorrected formation energy (eV per atom): -3.28

abc: 5.655 7.575 5.262
angles: 90.00 90.00 90.00
Space group Pnma (No. 62)
Asymmetric unit:
Dy: 0.074 0.250 0.023 x4
Ti: 0.000 0.000 0.500 x4
O: 0.045 0.750 0.378 x4
O: 0.197 0.558 0.811 x8



# Dy2Ti2O7

A relaxed structure of Dy2Ti2O7 (PBEsol, the Alexandria database).

Crystal system: monoclinic
Uncorrected formation energy (eV per atom): -3.36

abc: 12.402 7.112 23.471
angles: 90.00 100.64 90.00
Space group C2/m (No. 12)
Asymmetric unit:
Dy: 0.000 0.000 0.000 x2
Dy: 0.000 0.500 0.500 x2
Dy: 0.113 0.247 0.628 x8
Dy: 0.124 0.000 0.875 x4
Dy: 0.127 0.250 0.124 x8
Dy: 0.142 0.000 0.387 x4
Dy: 0.247 0.500 0.250 x4
Ti: 0.000 0.000 0.500 x2
Ti: 0.000 0.500 0.000 x2
Ti: 0.007 0.244 0.251 x8
Ti: 0.122 0.500 0.874 x4
Ti: 0.126 0.500 0.367 x4
Ti: 0.240 0.500 0.748 x4
Ti: 0.250 0.250 0.000 x4
Ti: 0.250 0.250 0.500 x4
O: 0.001 0.500 0.917 x4
O: 0.006 0.500 0.596 x4
O: 0.015 0.000 0.582 x4
O: 0.032 0.000 0.094 x4
O: 0.039 0.297 0.832 x8
O: 0.041 0.217 0.333 x8
O: 0.054 0.000 0.770 x4
O: 0.071 0.500 0.276 x4
O: 0.102 0.220 0.517 x8
O: 0.105 0.293 0.020 x8
O: 0.144 0.288 0.732 x8
O: 0.148 0.203 0.231 x8
O: 0.189 0.000 0.980 x4
O: 0.193 0.308 0.418 x8
O: 0.206 0.293 0.917 x8
O: 0.221 0.500 0.155 x4
O: 0.223 0.000 0.658 x4
O: 0.225 0.500 0.661 x4
O: 0.239 0.500 0.526 x4
O: 0.245 0.500 0.832 x4



# DyTmO3

A relaxed structure of DyTmO3 (PBEsol, the Alexandria database).

Crystal system: orthorhombic
Uncorrected formation energy (eV per atom): -3.60

abc: 5.830 8.237 5.556
angles: 90.00 90.00 90.00
Space group Pnma (No. 62)
Asymmetric unit:
Dy: 0.057 0.250 0.022 x4
Tm: 0.000 0.000 0.500 x4
O: 0.076 0.750 0.351 x4
O: 0.191 0.580 0.812 x8



# DyVO4

A relaxed structure of DyVO4 (PBEsol, the Alexandria database).

Crystal system: tetragonal
Uncorrected formation energy (eV per atom): -3.06

abc: 7.105 7.105 6.234
angles: 90.00 90.00 90.00
Space group I4_1/amd (No. 141, origin choice 2)
Asymmetric unit:
Dy: 0.000 0.250 0.375 x4
V: 0.000 0.250 0.875 x4
O: 0.000 0.065 0.700 x16



# DyVO4

A relaxed structure of DyVO4 (PBEsol, the Alexandria database).

Crystal system: tetragonal
Uncorrected formation energy (eV per atom): -3.04

abc: 5.002 5.002 11.114
angles: 90.00 90.00 90.00
Space group I4_1/a (No. 88, origin choice 2)
Asymmetric unit:
Dy: 0.000 0.250 0.125 x4
V: 0.000 0.250 0.625 x4
O: 0.146 0.495 0.294 x16



# Dy2VO5

A relaxed structure of Dy2VO5 (PBEsol, the Alexandria database).

Crystal system: monoclinic
Uncorrected formation energy (eV per atom): -3.17

abc: 9.166 6.957 6.669
angles: 90.00 95.48 90.00
Space group P2_1/c (No. 14)
Asymmetric unit:
Dy: 0.030 0.118 0.232 x4
Dy: 0.348 0.148 0.963 x4
V: 0.304 0.604 0.966 x4
O: 0.105 0.119 0.912 x4
O: 0.107 0.643 0.956 x4
O: 0.278 0.083 0.270 x4
O: 0.377 0.066 0.643 x4
O: 0.399 0.676 0.487 x4



# Dy2W2O9

A relaxed structure of Dy2W2O9 (PBEsol, the Alexandria database).

Crystal system: triclinic
Uncorrected formation energy (eV per atom): -2.76

abc: 6.622 6.959 7.288
angles: 71.14 84.36 82.70
Space group P-1 (No. 2)
Asymmetric unit:
Dy: 0.114 0.288 0.376 x2
Dy: 0.353 0.736 0.842 x2
W: 0.229 0.264 0.946 x2
W: 0.340 0.792 0.368 x2
O: 0.007 0.758 0.904 x2
O: 0.131 0.641 0.376 x2
O: 0.176 0.494 0.746 x2
O: 0.183 0.912 0.544 x2
O: 0.237 0.055 0.851 x2
O: 0.316 0.434 0.090 x2
O: 0.351 0.071 0.220 x2
O: 0.457 0.305 0.465 x2
O: 0.463 0.741 0.139 x2



# Dy2W3O12

A relaxed structure of Dy2W3O12 (PBEsol, the Alexandria database).

Crystal system: monoclinic
Uncorrected formation energy (eV per atom): -2.63

abc: 7.586 11.191 11.248
angles: 90.00 108.95 90.00
Space group C2/c (No. 15)
Asymmetric unit:
Dy: 0.166 0.123 0.092 x8
W: 0.000 0.134 0.750 x4
W: 0.147 0.391 0.553 x8
O: 0.053 0.280 0.439 x8
O: 0.065 0.463 0.923 x8
O: 0.132 0.048 0.458 x8
O: 0.132 0.209 0.896 x8
O: 0.170 0.040 0.720 x8
O: 0.218 0.316 0.703 x8



# DyYO3

A relaxed structure of DyYO3 (PBEsol, the Alexandria database).

Crystal system: hexagonal
Uncorrected formation energy (eV per atom): -3.53

abc: 6.3565 6.3565 12.5852
angles: 90.00 90.00 120.00
Space group P6_3cm (No. 185)
Asymmetric unit:
Dy: 0.0000 0.3330 0.0000 x6
Y: 0.0000 0.0000 0.2314 x2
Y: 0.3333 0.6667 0.2653 x4
O: 0.0000 0.0000 0.0370 x2
O: 0.0000 0.3038 0.8253 x6
O: 0.0000 0.3669 0.1728 x6
O: 0.3333 0.6667 0.4686 x4



# Dy2Y2O5

A relaxed structure of Dy2Y2O5 (PBEsol, the Alexandria database).

Crystal system: tetragonal
Uncorrected formation energy (eV per atom): -2.94

abc: 3.833 3.833 9.659
angles: 90.00 90.00 90.00
Space group P4/mmm (No. 123)
Asymmetric unit:
Dy: 0.000 0.000 0.000 x1
Dy: 0.000 0.000 0.500 x1
Y: 0.500 0.500 0.238 x2
O: 0.000 0.500 0.141 x4
O: 0.500 0.500 0.500 x1



# DyY3O6

A relaxed structure of DyY3O6 (PBEsol, the Alexandria database).

Crystal system: monoclinic
Uncorrected formation energy (eV per atom): -3.64

abc: 14.905 10.541 10.538
angles: 90.00 134.99 90.00
Space group C2 (No. 5)
Asymmetric unit:
Dy: 0.000 0.000 0.000 x2
Dy: 0.000 0.500 0.000 x2
Dy: 0.033 0.217 0.783 x4
Y: 0.000 0.435 0.500 x2
Y: 0.000 0.935 0.500 x2
Y: 0.033 0.717 0.283 x4
Y: 0.250 0.217 0.250 x4
Y: 0.250 0.217 0.750 x4
Y: 0.250 0.467 0.033 x4
Y: 0.250 0.467 0.533 x4
O: 0.109 0.088 0.708 x4
O: 0.109 0.347 0.011 x4
O: 0.109 0.587 0.511 x4
O: 0.109 0.847 0.208 x4
O: 0.120 0.119 0.261 x4
O: 0.120 0.316 0.480 x4
O: 0.120 0.619 0.979 x4
O: 0.120 0.816 0.761 x4
O: 0.151 0.076 0.022 x4
O: 0.151 0.358 0.781 x4
O: 0.151 0.576 0.281 x4
O: 0.151 0.858 0.522 x4